(1)
Cs8K2Ag: relaxed, GGA-PBE.

The calculation puts the density of states at the Fermi level at 0.924 states/eV per atom. The value obtained for the total energy is -1.052 eV per atom. Its energy above the most stable polymorph in this dataset is 6 meV/atom. The value obtained for the formation energy is 0.03 eV/atom.

Lattice parameters (Å, degrees): 7.9766 10.0319 14.1193 110.20 106.41 90.00
Fractional coordinates of all 11 atoms:
Cs  0.4112  0.5978  0.8223
Cs  0.6315  0.9485  0.2630
Cs  0.7914  0.7214  0.5827
Cs  0.9911  0.2167  0.9822
Cs  0.2086  0.2786  0.4173
Cs  0.3685  0.0515  0.7370
Cs  0.5888  0.4022  0.1777
Cs  0.0089  0.7833  0.0178
K  0.8209  0.2750  0.6417
K  0.1791  0.7250  0.3583
Ag  0.5000  0.0000  0.0000

(2)
Li3Ga9Rh2: relaxed, GGA-PBE.

The calculation puts the density of states at the Fermi level at 0.346 states/eV per atom. The value obtained for the total energy is -3.748 eV per atom. The value obtained for the formation energy is -0.34 eV/atom.

Lattice parameters (Å, degrees): 4.0934 9.8621 7.8281 129.04 105.16 90.00
Fractional coordinates of all 14 atoms:
Li  0.0000  0.0000  0.0000
Li  0.2864  0.2864  0.5728
Li  0.7136  0.7136  0.4272
Ga  0.0000  0.5000  0.0000
Ga  0.3687  0.9963  0.7374
Ga  0.6313  0.0037  0.2626
Ga  0.3687  0.7411  0.7374
Ga  0.6313  0.2589  0.2626
Ga  0.1470  0.8582  0.2940
Ga  0.8530  0.1418  0.7060
Ga  0.1470  0.4359  0.2940
Ga  0.8530  0.5641  0.7060
Rh  0.5000  0.3445  0.0000
Rh  0.5000  0.6555  0.0000

(3)
ScZnI2N: relaxed, GGA-PBE.

The calculation puts the density of states at the Fermi level at 1.529 states/eV per atom. The value obtained for the total energy is -3.421 eV per atom. Its energy above the most stable polymorph in this dataset is 421 meV/atom. For the uncorrected formation energy, the calculation gives 0.3848 eV/atom.

Lattice parameters (Å, degrees): 5.7287 5.7287 3.7022 90.00 90.00 90.00
Fractional coordinates of all 5 atoms:
I  0.0000  0.5000  0.0000
I  0.5000  0.0000  0.0000
Sc  0.5000  0.5000  0.5000
Zn  0.0000  0.0000  0.0000
N  0.0000  0.0000  0.5000

(4)
Nd2Dy6Er3: relaxed, GGA-PBE.

The calculation puts the density of states at the Fermi level at 1.633 states/eV per atom. The value obtained for the total energy is -4.440 eV per atom. Its energy above the most stable polymorph in this dataset is 0 meV/atom. The value obtained for the formation energy is 0.18 eV/atom.

Lattice parameters (Å, degrees): 6.0958 6.1025 11.6887 84.96 79.87 60.04
Fractional coordinates of all 11 atoms:
Nd  0.1667  0.6667  0.5000
Nd  0.8333  0.3333  0.5000
Dy  0.4156  0.6665  0.7540
Dy  0.7493  0.0000  0.7538
Dy  0.0821  0.3335  0.7540
Dy  0.2507  0.0000  0.2462
Dy  0.5844  0.3335  0.2460
Dy  0.9179  0.6665  0.2460
Er  0.0000  0.0000  0.0000
Er  0.3347  0.3307  0.0000
Er  0.6653  0.6693  0.0000

(5)
Mg2TePI: relaxed, GGA-PBE.

The calculation puts the density of states at the Fermi level at 0.764 states/eV per atom. The value obtained for the total energy is -1.702 eV per atom. For the uncorrected formation energy, the calculation gives 0.9562 eV/atom.

Lattice parameters (Å, degrees): 5.4505 6.0301 5.4505 90.00 90.00 90.00
Fractional coordinates of all 5 atoms:
I  0.0000  0.0000  0.0000
P  0.5000  0.5000  0.5000
Mg  0.0000  0.0000  0.5000
Mg  0.5000  0.0000  0.0000
Te  0.0000  0.5000  0.0000

(6)
AgHg2Pd5: relaxed, GGA-PBE.

The calculation puts the density of states at the Fermi level at 0.529 states/eV per atom. The value obtained for the total energy is -3.770 eV per atom. Its energy above the most stable polymorph in this dataset is 20 meV/atom. The value obtained for the formation energy is -0.09 eV/atom.

Lattice parameters (Å, degrees): 4.6864 4.6863 7.0484 109.44 109.42 90.00
Fractional coordinates of all 8 atoms:
Ag  0.0000  0.0000  0.0000
Hg  0.7476  0.7476  0.4951
Hg  0.2524  0.2524  0.5049
Pd  0.5000  0.5000  0.0000
Pd  0.8780  0.3779  0.7560
Pd  0.3780  0.8779  0.7560
Pd  0.1220  0.6221  0.2440
Pd  0.6220  0.1221  0.2440

(7)
Ho4CdGa2: relaxed, GGA-PBE.

The calculation puts the density of states at the Fermi level at 0.734 states/eV per atom. The value obtained for the total energy is -3.984 eV per atom. Its energy above the most stable polymorph in this dataset is 0 meV/atom. The value obtained for the formation energy is -0.37 eV/atom.

Lattice parameters (Å, degrees): 5.0524 5.0524 8.6362 72.99 72.99 60.00
Fractional coordinates of all 7 atoms:
Ho  0.8696  0.8696  0.3913
Ho  0.1304  0.1304  0.6087
Ho  0.6169  0.6169  0.1494
Ho  0.3831  0.3831  0.8506
Ga  0.7480  0.7480  0.7559
Ga  0.2520  0.2520  0.2441
Cd  0.0000  0.0000  0.0000

(8)
TbPm2S3: relaxed, GGA-PBE.

The calculation puts the density of states at the Fermi level at 0.494 states/eV per atom. The value obtained for the total energy is -6.424 eV per atom. Its energy above the most stable polymorph in this dataset is 18 meV/atom. For the uncorrected formation energy, the calculation gives -2.0053 eV/atom.

Lattice parameters (Å, degrees): 3.9559 3.9559 20.0738 90.00 90.00 120.00
Fractional coordinates of all 12 atoms:
Tb  0.0000  0.0000  0.2500
Tb  0.0000  0.0000  0.7500
Pm  0.3333  0.6667  0.9168
Pm  0.6667  0.3333  0.0832
Pm  0.6667  0.3333  0.4168
Pm  0.3333  0.6667  0.5832
S  0.0000  0.0000  0.0000
S  0.3333  0.6667  0.1681
S  0.3333  0.6667  0.3319
S  0.0000  0.0000  0.5000
S  0.6667  0.3333  0.6681
S  0.6667  0.3333  0.8319

(9)
NiRu2: relaxed, GGA-PBE.

The calculation puts the density of states at the Fermi level at 1.818 states/eV per atom. The value obtained for the total energy is -7.156 eV per atom. Its energy above the most stable polymorph in this dataset is 908 meV/atom. The value obtained for the formation energy is 0.96 eV/atom.

Lattice parameters (Å, degrees): 5.6810 5.6810 5.6810 90.00 90.00 90.00
Fractional coordinates of all 12 atoms:
Ru  0.1162  0.6162  0.8838
Ru  0.1162  0.8838  0.3838
Ru  0.3838  0.1162  0.8838
Ru  0.3838  0.3838  0.3838
Ru  0.6162  0.6162  0.6162
Ru  0.6162  0.8838  0.1162
Ru  0.8838  0.1162  0.6162
Ru  0.8838  0.3838  0.1162
Ni  0.0000  0.0000  0.0000
Ni  0.0000  0.5000  0.5000
Ni  0.5000  0.0000  0.5000
Ni  0.5000  0.5000  0.0000

(10)
Li5Sm12Si3: relaxed, GGA-PBE.

The calculation puts the density of states at the Fermi level at 1.399 states/eV per atom. The value obtained for the total energy is -3.778 eV per atom. For the uncorrected formation energy, the calculation gives 0.3458 eV/atom.

Lattice parameters (Å, degrees): 14.7603 14.7603 14.7603 109.47 109.47 109.47
Fractional coordinates of all 80 atoms:
Si  0.7500  0.3750  0.1250
Si  0.8750  0.7500  0.1250
Si  0.3750  0.7500  0.6250
Si  0.2500  0.1250  0.3750
Si  0.8750  0.1250  0.2500
Si  0.3750  0.6250  0.2500
Si  0.6250  0.3750  0.7500
Si  0.1250  0.8750  0.7500
Si  0.7500  0.8750  0.6250
Si  0.6250  0.2500  0.3750
Si  0.1250  0.2500  0.8750
Si  0.2500  0.6250  0.8750
Li  0.1250  0.3750  0.2500
Li  0.0000  0.5000  0.0000
Li  0.0000  0.0000  0.0000
Li  0.3750  0.2500  0.1250
Li  0.5000  0.0000  0.5000
Li  0.5000  0.5000  0.0000
Li  0.1250  0.7500  0.3750
Li  0.7500  0.1250  0.8750
Li  0.7500  0.6250  0.3750
Li  0.3750  0.1250  0.7500
Li  0.6250  0.8750  0.2500
Li  0.5000  0.5000  0.5000
Li  0.5000  0.0000  0.0000
Li  0.0000  0.0000  0.5000
Li  0.2500  0.3750  0.6250
Li  0.2500  0.8750  0.1250
Li  0.0000  0.5000  0.5000
Li  0.8750  0.2500  0.6250
Li  0.6250  0.7500  0.8750
Li  0.8750  0.6250  0.7500
Sm  0.7268  0.1361  0.0604
Sm  0.3336  0.5604  0.4243
Sm  0.9396  0.3639  0.2732
Sm  0.5604  0.2268  0.1361
Sm  0.5907  0.7268  0.6664
Sm  0.9396  0.5757  0.1664
Sm  0.3336  0.7732  0.4093
Sm  0.0757  0.9093  0.1361
Sm  0.5757  0.9396  0.6664
Sm  0.7268  0.5907  0.1664
Sm  0.7732  0.4396  0.3639
Sm  0.8336  0.9243  0.0604
Sm  0.1361  0.7268  0.5604
Sm  0.3639  0.4243  0.0907
Sm  0.0907  0.9243  0.3639
Sm  0.4093  0.1361  0.5757
Sm  0.0907  0.1664  0.2268
Sm  0.4396  0.6664  0.0757
Sm  0.8336  0.9093  0.2732
Sm  0.1361  0.4093  0.0757
Sm  0.3639  0.9396  0.7732
Sm  0.5757  0.6361  0.4093
Sm  0.9243  0.8336  0.5604
Sm  0.7732  0.3336  0.9093
Sm  0.4243  0.3639  0.5907
Sm  0.0757  0.1664  0.4396
Sm  0.2268  0.6664  0.0907
Sm  0.1664  0.0907  0.7268
Sm  0.6361  0.0604  0.2268
Sm  0.8639  0.5907  0.9243
Sm  0.5604  0.3336  0.9243
Sm  0.5907  0.8639  0.4243
Sm  0.9093  0.8336  0.7732
Sm  0.9093  0.0757  0.6361
Sm  0.8639  0.2732  0.4396
Sm  0.1664  0.0757  0.9396
Sm  0.6361  0.5757  0.9093
Sm  0.4243  0.0604  0.3336
Sm  0.2732  0.4093  0.8336
Sm  0.2268  0.5604  0.6361
Sm  0.9243  0.0907  0.8639
Sm  0.6664  0.2268  0.5907
Sm  0.4396  0.7732  0.8639
Sm  0.0604  0.4243  0.8336
Sm  0.4093  0.2732  0.3336
Sm  0.0604  0.6361  0.7268
Sm  0.6664  0.4396  0.5757
Sm  0.2732  0.8639  0.9396

(11)
Mn4FeTe2: relaxed, GGA-PBE.

The calculation puts the density of states at the Fermi level at 0.881 states/eV per atom. The value obtained for the total energy is -6.816 eV per atom. For the uncorrected formation energy, the calculation gives 0.5304 eV/atom.

Lattice parameters (Å, degrees): 4.4135 4.4135 7.6390 73.21 73.21 90.00
Fractional coordinates of all 7 atoms:
Te  0.6382  0.6382  0.7235
Te  0.3618  0.3618  0.2765
Fe  0.0000  0.0000  0.0000
Mn  0.8331  0.8331  0.3338
Mn  0.1669  0.1669  0.6662
Mn  0.0000  0.5000  0.0000
Mn  0.5000  0.0000  0.0000

(12)
TbCuPbAu: relaxed, GGA-PBE.

The calculation puts the density of states at the Fermi level at 0.453 states/eV per atom. The value obtained for the total energy is -4.299 eV per atom. The value obtained for the formation energy is -0.37 eV/atom.

Lattice parameters (Å, degrees): 4.9600 4.9600 4.9600 60.00 60.00 60.00
Fractional coordinates of all 4 atoms:
Pb  0.5000  0.5000  0.5000
Tb  0.0000  0.0000  0.0000
Au  0.7500  0.7500  0.7500
Cu  0.2500  0.2500  0.2500